[1]
Density functional theory data (meta-GGA SCAN) for K3BIr at its PBEsol-relaxed geometry.

Energy relative to the elements ... 1.5873 eV per atom
Symmetry ... No. 221
Theoretical density ... 2.54 g cm⁻³
Calculated total energy ... -19.12 eV per atom
Magnetic moment ... 3.13 μB per cell

Cell lengths 5.940, 5.940, 5.940 Å; angles 90.00, 90.00, 90.00 degrees
Site moments in Bohr magnetons follow the coordinates.
Atoms (fractional coordinates):
K: 0.000 0.500 0.000  0.02
K: 0.000 0.000 0.500  0.02
K: 0.500 0.000 0.000  0.02
Ir: 0.000 0.000 0.000  1.03
B: 0.500 0.500 0.500  0.57

***

[2]
Density functional theory data (meta-GGA SCAN) for SbP4O12 at its PBEsol-relaxed geometry.

Energy above the lowest structure with this stoichiometry ... 15.5 meV per atom
Symmetry ... No. 60
Theoretical density ... 2.93 g cm⁻³
ΔE_f (raw) ... -2075 meV/atom
Calculated total energy ... -11.11 eV per atom
Magnetic moment ... 4.01 μB per cell

Cell lengths 7.784, 9.455, 13.485 Å; angles 90.00, 90.00, 90.00 degrees
Site moments in Bohr magnetons follow the coordinates.
Atoms (fractional coordinates):
Sb: 0.672 0.250 0.000  0.34
Sb: 0.828 0.750 0.500  0.34
Sb: 0.328 0.750 0.000  0.34
Sb: 0.172 0.250 0.500  0.34
P: 0.841 0.002 0.151  0.01
P: 0.544 0.521 0.146  0.01
P: 0.956 0.021 0.354  0.01
P: 0.956 0.479 0.646  0.01
P: 0.659 0.998 0.651  0.01
P: 0.159 0.502 0.151  0.01
P: 0.341 0.498 0.651  0.01
P: 0.456 0.021 0.146  0.01
P: 0.659 0.502 0.349  0.01
P: 0.841 0.498 0.849  0.01
P: 0.544 0.979 0.854  0.01
P: 0.159 0.998 0.849  0.01
P: 0.341 0.002 0.349  0.01
P: 0.456 0.479 0.854  0.01
P: 0.044 0.521 0.354  0.01
P: 0.044 0.979 0.646  0.01
O: 0.346 0.119 0.428  0.10
O: 0.444 0.874 0.361  0.02
O: 0.141 0.538 0.670  0.00
O: 0.537 0.639 0.070  0.06
O: 0.641 0.538 0.830  0.00
O: 0.346 0.381 0.572  0.10
O: 0.963 0.139 0.430  0.06
O: 0.556 0.374 0.361  0.02
O: 0.659 0.398 0.118  0.08
O: 0.463 0.361 0.930  0.06
O: 0.537 0.861 0.930  0.06
O: 0.115 0.913 0.746  0.01
O: 0.385 0.413 0.754  0.01
O: 0.141 0.962 0.330  0.00
O: 0.154 0.881 0.928  0.10
O: 0.885 0.413 0.746  0.01
O: 0.944 0.874 0.139  0.02
O: 0.056 0.374 0.139  0.02
O: 0.385 0.087 0.246  0.01
O: 0.846 0.381 0.928  0.10
O: 0.556 0.126 0.639  0.02
O: 0.659 0.102 0.882  0.08
O: 0.841 0.898 0.382  0.08
O: 0.641 0.962 0.170  0.00
O: 0.615 0.587 0.246  0.01
O: 0.359 0.038 0.830  0.00
O: 0.037 0.639 0.430  0.06
O: 0.341 0.898 0.118  0.08
O: 0.444 0.626 0.639  0.02
O: 0.963 0.361 0.570  0.06
O: 0.859 0.038 0.670  0.00
O: 0.615 0.913 0.754  0.01
O: 0.654 0.881 0.572  0.10
O: 0.056 0.126 0.861  0.02
O: 0.037 0.861 0.570  0.06
O: 0.846 0.119 0.072  0.10
O: 0.159 0.102 0.618  0.08
O: 0.463 0.139 0.070  0.06
O: 0.115 0.587 0.254  0.01
O: 0.859 0.462 0.330  0.00
O: 0.154 0.619 0.072  0.10
O: 0.841 0.602 0.618  0.08
O: 0.359 0.462 0.170  0.00
O: 0.885 0.087 0.254  0.01
O: 0.944 0.626 0.861  0.02
O: 0.159 0.398 0.382  0.08
O: 0.654 0.619 0.428  0.10
O: 0.341 0.602 0.882  0.08

***

[3]
Density functional theory data (meta-GGA SCAN) for TlHg2Mo at its PBEsol-relaxed geometry.

Energy above the lowest structure with this stoichiometry ... 0.0 meV per atom
Energy relative to the elements ... 0.5066 eV per atom
Symmetry ... No. 123
Theoretical density ... 13.99 g cm⁻³
Calculated total energy ... -60.39 eV per atom
Magnetic moment ... 0.00 μB per cell

Cell lengths 2.964, 2.964, 9.479 Å; angles 90.00, 90.00, 90.04 degrees
Atoms (fractional coordinates):
Hg: 0.000 0.000 0.287
Hg: 0.000 0.000 0.713
Mo: 0.500 0.500 0.500
Tl: 0.500 0.500 0.000

***

[4]
Density functional theory data (meta-GGA SCAN) for TlTe2 at its PBEsol-relaxed geometry.

Energy above the lowest structure with this stoichiometry ... 0.0 meV per atom
Symmetry ... No. 63
Theoretical density ... 7.14 g cm⁻³
ΔE_f (raw) ... -127 meV/atom
Calculated total energy ... -49.08 eV per atom
Magnetic moment ... 0.00 μB per cell

Cell lengths 4.564, 6.972, 6.972 Å; angles 105.57, 90.00, 90.00 degrees
Atoms (fractional coordinates):
Tl: 0.750 0.335 0.335
Tl: 0.250 0.665 0.665
Te: 0.750 0.869 0.378
Te: 0.250 0.131 0.622
Te: 0.750 0.378 0.869
Te: 0.250 0.622 0.131

***

[5]
Density functional theory data (meta-GGA SCAN) for ZnCBr2 at its PBEsol-relaxed geometry.

Energy above the lowest structure with this stoichiometry ... 0.0 meV per atom
Symmetry ... No. 166
Theoretical density ... 4.17 g cm⁻³
ΔE_f (raw) ... 1155 meV/atom
Calculated total energy ... -14.48 eV per atom
Magnetic moment ... 2.00 μB per cell

Cell lengths 3.759, 3.759, 8.024 Å; angles 76.45, 76.45, 60.00 degrees
Site moments in Bohr magnetons follow the coordinates.
Atoms (fractional coordinates):
Zn: 0.500 0.500 0.500  0.03
C: 0.000 0.000 0.000  0.93
Br: 0.898 0.898 0.307  0.00
Br: 0.102 0.102 0.693  0.00

***

[6]
Density functional theory data (meta-GGA SCAN) for Ca2AlMo at its PBEsol-relaxed geometry.

Energy relative to the elements ... 0.8315 eV per atom
Symmetry ... No. 122
Theoretical density ... 3.68 g cm⁻³
Calculated total energy ... -14.66 eV per atom
Magnetic moment ... 4.33 μB per cell

Cell lengths 5.676, 6.354, 6.354 Å; angles 78.49, 63.47, 63.47 degrees
Site moments in Bohr magnetons follow the coordinates.
Atoms (fractional coordinates):
Mo: 0.000 0.000 0.000  2.26
Mo: 0.750 0.500 0.500  2.26
Ca: 0.628 0.997 0.497  -0.01
Ca: 0.122 0.003 0.503  -0.01
Ca: 0.375 0.503 0.997  -0.01
Ca: 0.875 0.497 0.003  -0.01
Al: 0.500 0.000 0.000  -0.05
Al: 0.250 0.500 0.500  -0.05